An optimized crystal structure of Tc2Mo, computed with PBE-GGA.

Values from the calculation:
The calculation puts the offset from the most stable computed form at 37 meV/atom. The calculated density is 10.74 g cm⁻³. As for the formation energy: 0.146 eV/atom.

Structure (CIF):
```
data_Tc2Mo
_chemical_formula_sum 'Tc4 Mo2'
_cell_length_a 2.7760
_cell_length_b 2.7760
_cell_length_c 13.5232
_cell_angle_alpha 90.00
_cell_angle_beta 90.00
_cell_angle_gamma 120.00
_space_group_name_H-M_alt 'P -6 m 2'
_space_group_IT_number 187
_space_group_name_Hall 'P -6 2'
loop_
_atom_site_label
_atom_site_fract_x
_atom_site_fract_y
_atom_site_fract_z
Tc1 0.0000 0.0000 0.0000
Tc2 0.0000 0.0000 0.3388
Tc3 0.3333 0.6667 0.5000
Mo1 0.3333 0.6667 0.1680
```